La4Cd2Hg | PBE | relaxed

Computed properties:
ΔH_f (0 K)   -240 meV per atom
Electronic total energy   -3.3598 eV/atom
Density of states at the Fermi level   18.80 states/eV per cell

The structure in CIF format:
```
data_La4Cd2Hg
_cell_length_a 7.7689
_cell_length_b 7.7689
_cell_length_c 7.7489
_cell_angle_alpha 90.00
_cell_angle_beta 90.00
_cell_angle_gamma 90.00
_space_group_name_H-M_alt 'I 4/m m m'
_space_group_IT_number 139
_space_group_name_Hall '-I 4 2'
loop_
_atom_site_label
_atom_site_type_symbol
_atom_site_fract_x
_atom_site_fract_y
_atom_site_fract_z
La1 La 0.2500 0.2500 0.2500
Cd1 Cd 0.0000 0.5000 0.0000
Hg1 Hg 0.0000 0.0000 0.0000
```

---

NaBeSb2 | PBE | relaxed

Computed properties:
Formation energy from raw total energies   0.0618 eV/atom
Electronic total energy   -3.2607 eV/atom
Density of states at the Fermi level   3.51 states/eV per cell

The structure in CIF format:
```
data_NaBeSb2
_cell_length_a 5.4456
_cell_length_b 5.4456
_cell_length_c 15.5659
_cell_angle_alpha 90.00
_cell_angle_beta 90.00
_cell_angle_gamma 90.00
_space_group_name_H-M_alt 'I -4 2 d'
_space_group_IT_number 122
_space_group_name_Hall 'I -4 2bw'
loop_
_atom_site_label
_atom_site_type_symbol
_atom_site_fract_x
_atom_site_fract_y
_atom_site_fract_z
Na1 Na 0.0000 0.0000 0.0000
Be1 Be 0.0000 0.0000 0.5000
Sb1 Sb 0.1251 0.2500 0.6250
```

---

KSbHSe2 | PBE | relaxed

Computed properties:
Electronic total energy   -3.4554 eV/atom
Density of states at the Fermi level   0.91 states/eV per cell

The structure in CIF format:
```
data_KSbHSe2
_cell_length_a 7.2054
_cell_length_b 4.4641
_cell_length_c 9.2162
_cell_angle_alpha 90.00
_cell_angle_beta 112.84
_cell_angle_gamma 90.00
_space_group_name_H-M_alt 'P 1 2/c 1'
_space_group_IT_number 13
loop_
_space_group_symop_operation_xyz
'x,y,z'
'-x,-y,-z'
'-x,y,-z+1/2'
'x,-y,z+1/2'
loop_
_atom_site_label
_atom_site_type_symbol
_atom_site_fract_x
_atom_site_fract_y
_atom_site_fract_z
K1 K 0.0000 0.2142 0.2500
Sb1 Sb 0.5000 0.0818 0.7500
H1 H 0.5000 0.5000 0.0000
Se1 Se 0.2974 0.2952 0.0225
```